(1)
# Np2Ge3Ru5 | Alexandria | PBE | relaxed
data_Np2Ge3Ru5
_cell_length_a 4.1762
_cell_length_b 24.9678
_cell_length_c 6.3806
_cell_angle_alpha 90.00
_cell_angle_beta 90.00
_cell_angle_gamma 90.00
_symmetry_space_group_name_H-M 'C m c 21'
_symmetry_Int_Tables_number 36
loop_
_symmetry_equiv_pos_as_xyz
'x,y,z'
'-x,-y,z+1/2'
'-x,y,z'
'x,-y,z+1/2'
'x+1/2,y+1/2,z'
'-x+1/2,-y+1/2,z+1/2'
'-x+1/2,y+1/2,z'
'x+1/2,-y+1/2,z+1/2'
loop_
_atom_site_label
_atom_site_fract_x
_atom_site_fract_y
_atom_site_fract_z
Np1 0.0000 0.0080 0.0000
Np2 0.0000 0.3271 0.9882
Ge1 0.0000 0.1094 0.2195
Ge2 0.0000 0.2722 0.4842
Ge3 0.0000 0.4466 0.2328
Ru1 0.0000 0.1047 0.6423
Ru2 0.0000 0.2044 0.7686
Ru3 0.0000 0.2081 0.1923
Ru4 0.0000 0.3701 0.4859
Ru5 0.0000 0.4473 0.8326
# Energy of formation from the pure elements ... -0.216 eV/atom

***

(2)
# Sr2YNpN4 | Alexandria | PBE | relaxed
data_Sr2YNpN4
_cell_length_a 6.0805
_cell_length_b 3.5860
_cell_length_c 6.3095
_cell_angle_alpha 90.00
_cell_angle_beta 108.33
_cell_angle_gamma 90.00
_symmetry_space_group_name_H-M 'P 1 2/m 1'
_symmetry_Int_Tables_number 10
loop_
_symmetry_equiv_pos_as_xyz
'x,y,z'
'-x,-y,-z'
'-x,y,-z'
'x,-y,z'
loop_
_atom_site_label
_atom_site_fract_x
_atom_site_fract_y
_atom_site_fract_z
Sr1 0.0000 0.0000 0.0000
Sr2 0.5000 0.5000 0.0000
Y1 0.0000 0.5000 0.5000
Np1 0.5000 0.0000 0.5000
N1 0.2639 0.0000 0.6981
N2 0.2753 0.5000 0.2953
# Formation energy (no corrections) ... -1.158 eV/atom

***

(3)
# AcSb2Pd3 | Alexandria | PBE | relaxed
data_AcSb2Pd3
_cell_length_a 16.9913
_cell_length_b 4.8126
_cell_length_c 6.6472
_cell_angle_alpha 90.00
_cell_angle_beta 100.48
_cell_angle_gamma 90.00
_symmetry_space_group_name_H-M 'C 1 2/m 1'
_symmetry_Int_Tables_number 12
loop_
_symmetry_equiv_pos_as_xyz
'x,y,z'
'-x,-y,-z'
'-x,y,-z'
'x,-y,z'
'x+1/2,y+1/2,z'
'-x+1/2,-y+1/2,-z'
'-x+1/2,y+1/2,-z'
'x+1/2,-y+1/2,z'
loop_
_atom_site_label
_atom_site_fract_x
_atom_site_fract_y
_atom_site_fract_z
Ac1 0.1180 0.0000 0.1616
Sb1 0.0216 0.5000 0.7594
Sb2 0.2304 0.0000 0.7007
Pd1 0.0703 0.0000 0.6581
Pd2 0.1325 0.5000 0.4828
Pd3 0.2053 0.5000 0.8929
# Energy above the most stable polymorph in this dataset ... 0.000 eV per atom
# Formation energy (no corrections) ... -0.764 eV/atom

***

(4)
# V3H2N | Alexandria | PBE | relaxed
data_V3H2N
_cell_length_a 4.8794
_cell_length_b 8.4745
_cell_length_c 4.9475
_cell_angle_alpha 90.00
_cell_angle_beta 109.02
_cell_angle_gamma 90.00
_symmetry_space_group_name_H-M 'C 1 2/m 1'
_symmetry_Int_Tables_number 12
loop_
_symmetry_equiv_pos_as_xyz
'x,y,z'
'-x,-y,-z'
'-x,y,-z'
'x,-y,z'
'x+1/2,y+1/2,z'
'-x+1/2,-y+1/2,-z'
'-x+1/2,y+1/2,-z'
'x+1/2,-y+1/2,z'
loop_
_atom_site_label
_atom_site_fract_x
_atom_site_fract_y
_atom_site_fract_z
V1 0.2463 0.0000 0.2445
V2 0.2503 0.1688 0.7508
H1 0.0000 0.0000 0.5000
H2 0.0000 0.3319 0.5000
H3 0.0000 0.5000 0.0000
N1 0.0000 0.1668 0.0000
# Total DFT energy (no corrections) ... -184.24 eV per cell

***

- Number 1 is which compound?
  Np2Ge3Ru5